VASP calculation (PBE) on a geometry-optimized Ac2Sb3Pd4Rh structure.

Unit cell a=4.5282 b=4.5282 c=11.1648 alpha=90.00 beta=90.00 gamma=90.00
Closest atoms and distances in Å follow each position.
Atoms (fractional coordinates):
1 Ac 0.0000 0.5000 0.2389  8 Pd 3.40-3.69, 6 Sb 3.50-3.53, 2 Rh 3.50
2 Ac 0.5000 0.0000 0.7611  8 Pd 3.40-3.69, 6 Sb 3.50-3.53, 2 Rh 3.50
3 Sb 0.0000 0.0000 0.0000  4 Pd 2.73
4 Sb 0.0000 0.5000 0.6281  5 Pd 2.62-2.68
5 Sb 0.5000 0.0000 0.3719  5 Pd 2.62-2.68
6 Pd 0.0000 0.0000 0.5000  4 Sb 2.68
7 Pd 0.0000 0.5000 0.8628  3 Sb 2.62-2.73, 2 Rh 2.73
8 Pd 0.5000 0.0000 0.1372  3 Sb 2.62-2.73, 2 Rh 2.73
9 Pd 0.5000 0.5000 0.5000  4 Sb 2.68
10 Rh 0.5000 0.5000 0.0000  4 Pd 2.73

Results
- Calculated total energy: -5.6321 eV per atom
- Crystal system: tetragonal
- V: 229 Å³/f.u.
- Energy relative to the elements, uncorrected: -0.76 eV per atom